Computed, not measured: a relaxed NbV2NiC crystal at the PBE level of DFT.

Lattice parameters (Å, degrees): 3.912 3.912 4.289 90.00 90.00 90.00
Element x y z (fractional)
Nb: 0.000 0.000 0.000
V: 0.000 0.500 0.500
V: 0.500 0.000 0.500
Ni: 0.500 0.500 0.000
C: 0.000 0.000 0.500

The volume is 65.62 Å³/cell. The formation energy from the elements comes out at -0.14 eV per atom.